10
Lattice="4.074 0.000 0.000 0.000 4.074 0.000 0.000 0.000 21.689" Properties=species:S:1:pos:R:3 comment="Ac5PmMg4 | Alexandria via LeMat-Bulk | PBE-GGA | optimized geometry" rho_g_cm3=6.35 ef_ev_per_atom=-0.054 magmom_total_mub_per_fu=0.00 spacegroup="P4/mmm, No. 123" dos_at_fermi_per_ev_cell=10.2 pbc="T T T"
Ac 0.000 0.000 0.000
Ac 0.000 0.000 4.149
Ac 0.000 0.000 8.324
Ac 0.000 0.000 13.365
Ac 0.000 0.000 17.540
Pm 2.037 2.037 10.845
Mg 2.037 2.037 2.073
Mg 2.037 2.037 6.252
Mg 2.037 2.037 15.437
Mg 2.037 2.037 19.616

---

6
Lattice="0.000 3.720 3.720 3.720 0.000 3.720 3.720 3.720 0.000" Properties=species:S:1:pos:R:3 comment="NiTeMo4 | Alexandria via LeMat-Bulk | PBE-GGA | optimized geometry" rho_g_cm3=9.19 formation_energy_uncorrected_ev_per_atom=0.66 magmom_total_mub_per_fu=0.00 spacegroup="F-43m, No. 216" dos_at_fermi_per_ev_cell=6.8 pbc="T T T"
Ni 0.000 0.000 0.000
Te 5.581 5.581 5.581
Mo 2.776 2.776 2.776
Mo 4.665 4.665 2.776
Mo 4.665 2.776 4.665
Mo 2.776 4.665 4.665

---

12
Lattice="4.196 0.000 0.000 -2.098 3.634 0.000 0.000 0.000 16.563" Properties=species:S:1:pos:R:3 comment="PrAl2Cu | Alexandria via LeMat-Bulk | PBE-GGA | optimized geometry" rho_g_cm3=5.10 ef_ev_per_atom=-0.373 magmom_total_mub_per_fu=0.00 spacegroup="R-3m, No. 166" dos_at_fermi_per_ev_cell=7.4 pbc="T T T"
Pr 0.000 0.000 0.000
Pr 0.000 2.422 11.042
Pr 2.098 1.211 5.521
Al 0.000 0.000 3.427
Al 0.000 0.000 13.136
Al 0.000 2.422 7.615
Al 0.000 2.422 14.468
Al 2.098 1.211 2.094
Al 2.098 1.211 8.947
Cu 0.000 0.000 8.281
Cu 0.000 2.422 2.760
Cu 2.098 1.211 13.802